Material: Rb2PBr5
Method: DFT, PBE-GGA
State: relaxed

Output
* total magnetic moment: 0.000 μB/atom
* V: 37.97 Å³/atom
* electronic total energy: -2.991 eV/atom
* crystal system: tetragonal

Geometry as extended XYZ:
```
8
Lattice="7.981 0.000 0.000 0.000 7.981 0.000 -3.990 -3.990 4.769" Properties=species:S:1:pos:R:3 pbc="T T T"
Br 6.143 1.837 0.062
Br 1.838 1.838 0.062
Br 1.838 6.143 0.062
P 3.991 3.990 4.658
Rb 0.000 3.990 2.442
Br 3.990 3.990 2.389
Rb 3.990 0.000 2.442
Br 6.143 6.143 0.062
```

---

Material: Rb2P2Br
Method: DFT, PBE-GGA
State: relaxed

Output
* total magnetic moment: 0.000 μB/atom
* V: 35.89 Å³/atom
* electronic total energy: -3.509 eV/atom
* crystal system: tetragonal

Geometry as extended XYZ:
```
10
Lattice="9.043 0.000 0.000 0.000 9.043 0.000 0.000 0.000 4.388" Properties=species:S:1:pos:R:3 pbc="T T T"
Rb 2.626 1.895 2.194
P 3.822 8.344 0.000
Br 4.522 4.522 0.000
Rb 6.417 7.148 2.194
P 0.700 3.822 0.000
Rb 1.895 6.417 2.194
P 5.222 0.700 0.000
Br 0.000 0.000 0.000
Rb 7.148 2.626 2.194
P 8.344 5.222 0.000
```

---

Material: RbPBr2
Method: DFT, PBE-GGA
State: relaxed

Output
* total magnetic moment: 0.500 μB/atom
* V: 53.12 Å³/atom
* electronic total energy: -2.868 eV/atom
* crystal system: trigonal

Geometry as extended XYZ:
```
4
Lattice="3.165 0.000 8.164 -1.583 2.741 8.164 -1.583 -2.741 8.164" Properties=species:S:1:pos:R:3 pbc="T T T"
Br 0.000 0.000 21.963
P 0.000 0.000 0.000
Br 0.000 0.000 2.528
Rb 0.000 0.000 12.246
```

---

Material: RbPBr4
Method: DFT, PBE-GGA
State: relaxed

Output
* total magnetic moment: 0.000 μB/atom
* V: 45.47 Å³/atom
* electronic total energy: -2.958 eV/atom
* crystal system: monoclinic

Geometry as extended XYZ:
```
24
Lattice="10.325 -0.579 0.000 -3.596 9.901 0.000 0.000 0.000 10.896" Properties=species:S:1:pos:R:3 pbc="T T T"
P 1.545 7.029 7.624
Br 4.164 5.843 9.119
Br -0.957 9.607 1.727
Br 7.348 6.539 0.303
Br 5.929 8.140 3.671
Rb 6.255 7.379 6.966
Br 7.686 -0.284 9.169
Br 7.030 0.974 3.684
Br 2.745 7.444 5.751
Br 6.004 4.367 3.721
Rb 3.838 6.604 1.518
P -1.776 7.534 2.176
Rb 2.891 2.718 9.377
Br -0.301 8.349 7.212
Br -0.619 2.783 10.593
P 5.184 2.294 3.272
Br 0.069 6.214 1.764
Br 0.725 4.956 7.175
Br 3.984 1.878 5.145
Rb 0.474 1.943 3.929
Br 0.800 1.182 7.224
P 8.505 1.788 8.719
Br 6.660 3.109 9.132
Br 2.565 3.479 1.777
```

---

Material: RbP2Br
Method: DFT, PBE-GGA
State: relaxed

Output
* total magnetic moment: 0.000 μB/atom
* V: 26.06 Å³/atom
* electronic total energy: -2.403 eV/atom
* crystal system: cubic

Geometry as extended XYZ:
```
4
Lattice="1.532 2.975 4.087 -3.612 2.220 3.151 -0.639 -1.765 4.938" Properties=species:S:1:pos:R:3 pbc="T T T"
P -0.680 0.858 3.044
Rb -1.360 1.715 6.088
P -2.040 2.573 9.132
Br 0.000 0.000 0.000
```

---

Material: RbP3Br
Method: DFT, PBE-GGA
State: relaxed

Output
* total magnetic moment: 1.712 μB/atom
* V: 64.56 Å³/atom
* electronic total energy: -1.995 eV/atom
* crystal system: cubic

Geometry as extended XYZ:
```
5
Lattice="6.860 0.000 0.000 0.000 6.860 0.000 0.000 0.000 6.860" Properties=species:S:1:pos:R:3 pbc="T T T"
Br 3.430 3.430 3.430
P 0.000 3.430 0.000
Rb 0.000 0.000 0.000
P 3.430 0.000 0.000
P 0.000 0.000 3.430
```